(P)
NbNi2I2 GGA-PBE optimized geometry; crystal system = tetragonal; ρ = 8174 kg/m³; space-group type = No. 139
1.0
-1.715 1.715 8.015
1.715 -1.715 8.015
1.715 1.715 -8.015
Nb Ni I
1 2 2
Direct
0.000 0.000 0.000 Nb
0.250 0.750 0.500 Ni
0.750 0.250 0.500 Ni
0.389 0.389 0.000 I
0.611 0.611 0.000 I

***

(Q)
NbNi2I2 GGA-PBE optimized geometry; crystal system = tetragonal; ρ = 8153 kg/m³; space-group type = No. 127
1.0
7.402 0.000 0.000
0.000 7.402 0.000
0.000 0.000 3.451
Nb Ni I
2 4 4
Direct
0.000 0.000 0.000 Nb
0.500 0.500 0.000 Nb
0.140 0.360 0.500 Ni
0.360 0.860 0.500 Ni
0.640 0.140 0.500 Ni
0.860 0.640 0.500 Ni
0.167 0.667 0.000 I
0.333 0.167 0.000 I
0.667 0.833 0.000 I
0.833 0.333 0.000 I

***

Which one sits at the top of the stability order? (P) does.

***

(P)
NbNi2I GGA-PBE optimized geometry; crystal system = cubic; ρ = 8541 kg/m³; space-group type = No. 225
1.0
0.000 3.200 3.200
3.200 0.000 3.200
3.200 3.200 0.000
Nb Ni I
1 2 1
Direct
0.000 0.000 0.000 Nb
0.250 0.250 0.250 Ni
0.750 0.750 0.750 Ni
0.500 0.500 0.500 I

***

(Q)
NbNi2I GGA-PBE optimized geometry; crystal system = tetragonal; ρ = 8297 kg/m³; space-group type = No. 122
1.0
-3.519 3.519 2.724
3.519 -3.519 2.724
3.519 3.519 -2.724
Nb Ni I
2 4 2
Direct
0.000 0.000 0.000 Nb
0.750 0.250 0.500 Nb
0.129 0.625 0.004 Ni
0.375 0.379 0.504 Ni
0.621 0.125 0.996 Ni
0.875 0.871 0.496 Ni
0.250 0.750 0.500 I
0.500 0.500 0.000 I

***

Which one sits at the top of the stability order? (Q) does.